# As2PbCl, relaxed, DFT GGA-PBE
data_As2PbCl
_chemical_formula_sum 'As6 Pb3 Cl3'
_cell_length_a 3.6401
_cell_length_b 3.6401
_cell_length_c 28.4670
_cell_angle_alpha 90.00
_cell_angle_beta 90.00
_cell_angle_gamma 120.00
_symmetry_space_group_name_H-M 'R 3 m'
_symmetry_Int_Tables_number 160
_symmetry_space_group_name_Hall 'R 3 -2"'
loop_
_atom_site_label
_atom_site_type_symbol
_atom_site_fract_x
_atom_site_fract_y
_atom_site_fract_z
As1 As 0.0000 0.0000 0.0000
As2 As 0.0000 0.0000 0.2842
Pb1 Pb 0.0000 0.0000 0.5085
Cl1 Cl 0.0000 0.0000 0.7697
# DOS at the Fermi energy (states/eV/cell): 5.44
# Energy relative to the elements, uncorrected (eV/atom): -0.259
# Total energy (eV per atom): -3.9723
# M_tot (μB/cell): 0.00